Material: BaPm2Y
Method: DFT, PBE-GGA
State: relaxed

Lattice parameters (Å, degrees): 3.676 3.676 13.255 82.03 82.03 60.00
Element x y z (fractional)
Y (0.500, 0.500, 0.500)
Pm (0.094, 0.094, 0.719)
Pm (0.906, 0.906, 0.281)
Ba (0.000, 0.000, 0.000)

E   -4.273 eV/atom
Energy above the lowest structure with this stoichiometry   7.3 kJ/mol of atoms
N(E_F)   5.5 states/eV/f.u.
E_form   198.7 meV per atom

***

Material: BaPmY
Method: DFT, PBE-GGA
State: relaxed

Lattice parameters (Å, degrees): 3.808 3.808 9.466 90.00 90.00 120.00
Element x y z (fractional)
Ba (0.000, 0.000, 0.997)
Y (0.333, 0.667, 0.647)
Pm (0.667, 0.333, 0.356)

E   -4.210 eV/atom
Energy above the lowest structure with this stoichiometry   0.7 kJ/mol of atoms
N(E_F)   5.4 states/eV/f.u.
E_form   169.1 meV per atom

***

Material: BaPmY2
Method: DFT, PBE-GGA
State: relaxed

Lattice parameters (Å, degrees): 3.733 3.733 12.475 81.40 81.40 60.00
Element x y z (fractional)
Ba (0.500, 0.500, 0.500)
Y (0.256, 0.256, 0.231)
Y (0.744, 0.744, 0.769)
Pm (0.000, 0.000, 0.000)

E   -4.755 eV/atom
N(E_F)   5.0 states/eV/f.u.
E_form   145.6 meV per atom

***

Material: BaPm2Y
Method: DFT, PBE-GGA
State: relaxed

Lattice parameters (Å, degrees): 3.761 3.761 10.896 90.00 90.00 90.00
Element x y z (fractional)
Y (0.500, 0.500, 0.000)
Ba (0.500, 0.500, 0.500)
Pm (0.000, 0.000, 0.219)
Pm (0.000, 0.000, 0.781)

E   -4.348 eV/atom
Energy above the lowest structure with this stoichiometry   0.0 kJ/mol of atoms
N(E_F)   5.6 states/eV/f.u.
E_form   123.6 meV per atom

***

Material: BaPm2Zn
Method: DFT, PBE-GGA
State: relaxed

Lattice parameters (Å, degrees): 3.780 3.780 9.654 90.00 90.00 90.00
Element x y z (fractional)
Zn (0.500, 0.500, 0.000)
Ba (0.500, 0.500, 0.500)
Pm (0.000, 0.000, 0.827)
Pm (0.000, 0.000, 0.173)

E   -3.223 eV/atom
Energy above the lowest structure with this stoichiometry   0.0 kJ/mol of atoms
N(E_F)   5.5 states/eV/f.u.
E_form   -48.3 meV per atom

***

Material: BaPm2Zn6
Method: DFT, PBE-GGA
State: relaxed

Lattice parameters (Å, degrees): 3.701 8.090 8.086 120.02 89.99 90.00
Element x y z (fractional)
Pm (0.000, 0.667, 0.334)
Pm (0.000, 0.333, 0.666)
Zn (0.500, 0.657, 0.658)
Zn (0.500, 0.000, 0.342)
Zn (0.500, 0.657, 0.000)
Zn (0.500, 0.343, 0.342)
Zn (0.500, 0.343, 0.000)
Zn (0.500, 0.000, 0.658)
Ba (0.000, 0.000, 0.000)

E   -2.372 eV/atom
N(E_F)   7.1 states/eV/f.u.
E_form   -252.9 meV per atom

***

Material: BaPm2Zn
Method: DFT, PBE-GGA
State: relaxed

Lattice parameters (Å, degrees): 3.761 3.761 11.934 80.93 80.93 60.00
Element x y z (fractional)
Zn (0.500, 0.500, 0.500)
Ba (0.000, 0.000, 0.000)
Pm (0.106, 0.106, 0.681)
Pm (0.894, 0.894, 0.319)

E   -3.032 eV/atom
Energy above the lowest structure with this stoichiometry   18.4 kJ/mol of atoms
N(E_F)   5.2 states/eV/f.u.
E_form   142.1 meV per atom

***

Material: BaPmZn2
Method: DFT, PBE-GGA
State: relaxed

Lattice parameters (Å, degrees): 4.038 4.038 9.425 77.63 77.63 60.00
Element x y z (fractional)
Pm (0.000, 0.000, 0.000)
Zn (0.260, 0.260, 0.221)
Zn (0.740, 0.740, 0.779)
Ba (0.500, 0.500, 0.500)

E   -2.289 eV/atom
N(E_F)   4.7 states/eV/f.u.
E_form   16.3 meV per atom

***

Material: BaPmZn2
Method: DFT, PBE-GGA
State: relaxed

Lattice parameters (Å, degrees): 3.851 3.851 7.810 90.00 90.00 90.00
Element x y z (fractional)
Zn (0.000, 0.000, 0.201)
Zn (0.000, 0.000, 0.799)
Pm (0.500, 0.500, 0.000)
Ba (0.500, 0.500, 0.500)

E   -2.522 eV/atom
N(E_F)   3.5 states/eV/f.u.
E_form   -216.8 meV per atom

***

Material: BaPm4Zn5
Method: DFT, PBE-GGA
State: relaxed

Lattice parameters (Å, degrees): 3.717 3.717 18.901 90.00 90.00 90.00
Element x y z (fractional)
Zn (0.500, 0.500, 0.125)
Zn (0.500, 0.500, 0.309)
Zn (0.500, 0.500, 0.500)
Zn (0.500, 0.500, 0.691)
Zn (0.500, 0.500, 0.875)
Pm (0.000, 0.000, 0.405)
Pm (0.000, 0.000, 0.595)
Pm (0.000, 0.000, 0.214)
Pm (0.000, 0.000, 0.786)
Ba (0.000, 0.000, 0.000)

E   -3.001 eV/atom
N(E_F)   10.0 states/eV/f.u.
E_form   -271.5 meV per atom

***

Material: Ba6Pr
Method: DFT, PBE-GGA
State: relaxed

Lattice parameters (Å, degrees): 8.067 8.067 8.067 109.47 109.47 109.47
Element x y z (fractional)
Ba (0.500, 0.750, 0.250)
Ba (0.500, 0.250, 0.750)
Ba (0.250, 0.500, 0.750)
Ba (0.750, 0.500, 0.250)
Ba (0.750, 0.250, 0.500)
Ba (0.250, 0.750, 0.500)
Pr (0.000, 0.000, 0.000)

E   -1.339 eV/atom
N(E_F)   11.8 states/eV/f.u.
E_form   991.9 meV per atom

***

Material: BaPr
Method: DFT, PBE-GGA
State: relaxed

Lattice parameters (Å, degrees): 4.111 4.851 9.596 90.00 90.00 90.00
Element x y z (fractional)
Pr (0.750, 0.250, 0.922)
Pr (0.250, 0.750, 0.078)
Ba (0.750, 0.250, 0.337)
Ba (0.250, 0.750, 0.663)

E   -3.215 eV/atom
N(E_F)   2.9 states/eV/f.u.
E_form   136.3 meV per atom

***

Material: Ba3Pr
Method: DFT, PBE-GGA
State: relaxed

Lattice parameters (Å, degrees): 5.970 5.970 7.251 114.31 114.31 90.00
Element x y z (fractional)
Ba (0.250, 0.750, 0.500)
Ba (0.500, 0.500, 0.000)
Ba (0.750, 0.250, 0.500)
Pr (0.000, 0.000, 0.000)

E   -2.458 eV/atom
Energy above the lowest structure with this stoichiometry   1.4 kJ/mol of atoms
N(E_F)   6.8 states/eV/f.u.
E_form   179.0 meV per atom

***

Material: Ba3Pr
Method: DFT, PBE-GGA
State: relaxed

Lattice parameters (Å, degrees): 8.497 8.497 6.776 90.00 90.00 120.00
Element x y z (fractional)
Ba (0.172, 0.344, 0.250)
Ba (0.344, 0.172, 0.750)
Ba (0.172, 0.828, 0.250)
Ba (0.828, 0.656, 0.750)
Ba (0.828, 0.172, 0.750)
Ba (0.656, 0.828, 0.250)
Pr (0.667, 0.333, 0.250)
Pr (0.333, 0.667, 0.750)

E   -2.465 eV/atom
Energy above the lowest structure with this stoichiometry   0.7 kJ/mol of atoms
N(E_F)   6.1 states/eV/f.u.
E_form   171.6 meV per atom

***

Material: BaPr5
Method: DFT, PBE-GGA
State: relaxed

Lattice parameters (Å, degrees): 5.388 5.353 8.513 108.32 90.00 90.00
Element x y z (fractional)
Pr (0.500, 0.827, 0.654)
Pr (0.500, 0.500, 0.000)
Pr (0.000, 0.326, 0.653)
Pr (0.000, 0.674, 0.347)
Pr (0.500, 0.173, 0.346)
Ba (0.000, 0.000, 0.000)

E   -4.197 eV/atom
N(E_F)   10.1 states/eV/f.u.
E_form   106.8 meV per atom

***

Material: Ba3Pr
Method: DFT, PBE-GGA
State: relaxed

Lattice parameters (Å, degrees): 6.699 6.699 6.699 60.00 60.00 60.00
Element x y z (fractional)
Ba (0.000, 0.000, 0.000)
Ba (0.250, 0.250, 0.250)
Ba (0.750, 0.750, 0.750)
Pr (0.500, 0.500, 0.500)

E   -2.468 eV/atom
Energy above the lowest structure with this stoichiometry   0.5 kJ/mol of atoms
N(E_F)   4.0 states/eV/f.u.
E_form   169.4 meV per atom

***

Material: Ba3Pr
Method: DFT, PBE-GGA
State: relaxed

Lattice parameters (Å, degrees): 5.950 5.950 5.950 90.00 90.00 90.00
Element x y z (fractional)
Ba (0.000, 0.500, 0.500)
Ba (0.500, 0.000, 0.500)
Ba (0.500, 0.500, 0.000)
Pr (0.000, 0.000, 0.000)

E   -2.451 eV/atom
Energy above the lowest structure with this stoichiometry   2.1 kJ/mol of atoms
N(E_F)   6.7 states/eV/f.u.
E_form   186.0 meV per atom

***

Material: Ba5Pr
Method: DFT, PBE-GGA
State: relaxed

Lattice parameters (Å, degrees): 4.733 6.887 10.902 108.41 90.00 90.00
Element x y z (fractional)
Ba (0.500, 0.846, 0.692)
Ba (0.000, 0.670, 0.339)
Ba (0.500, 0.154, 0.308)
Ba (0.500, 0.500, 0.000)
Ba (0.000, 0.330, 0.661)
Pr (0.000, 0.000, 0.000)

E   -2.289 eV/atom
N(E_F)   5.3 states/eV/f.u.
E_form   109.7 meV per atom

***

Material: Ba3Pr
Method: DFT, PBE-GGA
State: relaxed

Lattice parameters (Å, degrees): 4.231 7.269 8.045 116.86 105.25 90.00
Element x y z (fractional)
Ba (0.500, 0.490, 0.000)
Ba (0.261, 0.603, 0.521)
Ba (0.739, 0.082, 0.479)
Pr (0.000, 0.992, 0.000)

E   -2.472 eV/atom
Energy above the lowest structure with this stoichiometry   0.0 kJ/mol of atoms
N(E_F)   6.5 states/eV/f.u.
E_form   164.6 meV per atom

***

Material: BaPr4
Method: DFT, PBE-GGA
State: relaxed

Lattice parameters (Å, degrees): 5.949 5.949 5.949 90.00 90.00 90.00
Element x y z (fractional)
Pr (0.000, 0.000, 0.000)
Pr (0.000, 0.500, 0.500)
Pr (0.500, 0.500, 0.000)
Pr (0.500, 0.000, 0.500)
Ba (0.500, 0.500, 0.500)

E   -3.413 eV/atom
N(E_F)   9.2 states/eV/f.u.
E_form   795.5 meV per atom